1.
## MoSe2Br (PBE)

Data for an optimized crystal structure of MoSe2Br.

```
MoSe2Br
1.0
0.0000 3.3463 3.3463
3.3463 0.0000 3.3463
3.3463 3.3463 0.0000
Mo Br Se
1 1 2
direct
0.5000 0.5000 0.5000
0.0000 0.0000 0.0000
0.2500 0.2500 0.2500
0.7500 0.7500 0.7500
```

space-group type = Fm-3m (225)
D(E_F) = 2.43 states/eV per cell
formation energy without anion corrections = 0.653 eV per atom

=====

2.
## Ti2CdAu (PBE)

Data for an optimized crystal structure of Ti2CdAu.

```
Ti2CdAu
1.0
4.0417 0.0000 0.0000
2.0208 3.5002 0.0000
2.0208 1.1667 7.9903
Ti Cd Au
2 1 1
direct
0.8784 0.8784 0.3648
0.1216 0.1216 0.6352
0.0000 0.0000 0.0000
0.5000 0.5000 0.5000
```

space-group type = R-3m (166)
ΔH_f (0 K) = 0.568 eV per atom
D(E_F) = 3.75 states/eV per cell

=====

3.
## Rb4Mg3TlBr12 (PBE)

Data for an optimized crystal structure of Rb4Mg3TlBr12.

```
Rb4Mg3TlBr12
1.0
9.5708 0.0000 0.0000
-3.1903 9.0234 0.0000
-3.1903 -4.5117 7.8145
Tl Br Rb Mg
1 12 4 3
direct
0.0000 0.0000 0.0000
0.0000 0.2638 0.2638
0.2500 0.7500 0.5000
0.7362 0.0000 0.7362
0.0000 0.7362 0.7362
0.5000 0.2500 0.7500
0.2638 0.0000 0.2638
0.2500 0.5000 0.7500
0.7362 0.7362 0.0000
0.7500 0.5000 0.2500
0.5000 0.7500 0.2500
0.2638 0.2638 0.0000
0.7500 0.2500 0.5000
0.0000 0.0000 0.5000
0.0000 0.5000 0.0000
0.5000 0.0000 0.0000
0.5000 0.5000 0.5000
0.5000 0.5000 0.0000
0.5000 0.0000 0.5000
0.0000 0.5000 0.5000
```

space-group type = Im-3m (229)
D(E_F) = 4.81 states/eV per cell
formation energy without anion corrections = -1.409 eV per atom

=====

Question: Look up the D(E_F) of the first one.
Answer: 2.43 states/eV per cell

=====

Question: Number 1 is which compound?
Answer: MoSe2Br

=====

Question: What is the formula in the second record?
Answer: Ti2CdAu